The following is a PBE calculation of a geometry-optimized YPuGaSi structure, from Alexandria.

Computed properties:
Space-group type = F-43m, No. 216
E_form (uncorrected) = -398 meV per atom

abc: 4.998 4.998 4.998
angles: 60.00 60.00 60.00
Positions (direct):
Y  0.750  0.750  0.750
Pu  0.250  0.250  0.250
Ga  0.000  0.000  0.000
Si  0.500  0.500  0.500



The following is a PBE calculation of a geometry-optimized KAlRu2 structure, from Alexandria.

Computed properties:
Formation energy from the elements = 0.9959 eV/atom
Space-group type = Pmmm, No. 47

abc: 2.847 4.765 5.115
angles: 90.00 90.00 90.00
Positions (direct):
Ru  0.000  0.000  0.000
Ru  0.500  0.000  0.500
K  0.000  0.500  0.500
Al  0.500  0.500  0.000



The following is a PBE calculation of a geometry-optimized CaMnCo4 structure, from Alexandria.

Computed properties:
Formation energy from the elements = 0.1320 eV/atom
Space-group type = F-43m, No. 216

abc: 4.916 4.916 4.916
angles: 60.00 60.00 60.00
Positions (direct):
Co  0.872  0.376  0.376
Co  0.376  0.872  0.376
Co  0.376  0.376  0.872
Co  0.376  0.376  0.376
Mn  0.750  0.750  0.750
Ca  0.000  0.000  0.000



The following is a PBE calculation of a geometry-optimized LiDy4HoSe8 structure, from Alexandria.

Computed properties:
Space-group type = R3m, No. 160
E_form (uncorrected) = -1781 meV per atom

abc: 8.360 8.360 8.351
angles: 59.96 59.96 60.00
Positions (direct):
Se  0.224  0.759  0.257
Se  0.758  0.758  0.725
Se  0.245  0.245  0.266
Se  0.766  0.244  0.746
Se  0.244  0.766  0.746
Se  0.244  0.244  0.746
Se  0.759  0.759  0.257
Se  0.759  0.224  0.257
Dy  0.005  0.484  0.505
Dy  0.005  0.005  0.505
Dy  0.625  0.625  0.126
Dy  0.484  0.005  0.505
Li  0.375  0.375  0.875
Ho  0.005  0.005  0.984



The following is a PBE calculation of a geometry-optimized CuAgPd5 structure, from Alexandria.

Computed properties:
Formation energy from the elements = 0.1361 eV/atom
Space-group type = Cmmm, No. 65

abc: 4.805 4.805 5.506
angles: 90.00 90.00 111.89
Positions (direct):
Pd  0.500  0.000  0.748
Pd  0.000  0.500  0.748
Pd  0.500  0.000  0.252
Pd  0.000  0.500  0.252
Pd  0.000  0.000  0.500
Cu  0.500  0.500  0.500
Ag  0.000  0.000  0.000



The following is a PBE calculation of a geometry-optimized Ac2CdS structure, from Alexandria.

Computed properties:
Space-group type = R3m, No. 160
E_form (uncorrected) = -998 meV per atom

abc: 4.255 4.255 8.865
angles: 76.11 76.11 60.00
Positions (direct):
Cd  0.499  0.499  0.502
Ac  0.263  0.263  0.211
Ac  0.070  0.070  0.791
S  0.668  0.668  0.996



The following is a PBE calculation of a geometry-optimized Ta2ClO structure, from Alexandria.

Computed properties:
Space-group type = Fm-3m, No. 225
E_form (uncorrected) = 286 meV per atom

abc: 4.261 4.261 4.261
angles: 60.00 60.00 60.00
Positions (direct):
Cl  0.500  0.500  0.500
Ta  0.250  0.250  0.250
Ta  0.750  0.750  0.750
O  0.000  0.000  0.000



The following is a PBE calculation of a geometry-optimized NaPr2UN4 structure, from Alexandria.

Computed properties:
Space-group type = P2/m, No. 10
E_form (uncorrected) = -1051 meV per atom

abc: 3.625 6.129 6.123
angles: 71.18 90.00 90.00
Positions (direct):
U  0.500  0.500  0.000
Pr  0.000  0.000  0.000
Pr  0.500  0.000  0.500
N  0.000  0.733  0.773
N  0.000  0.267  0.227
N  0.500  0.721  0.193
N  0.500  0.279  0.807
Na  0.000  0.500  0.500



> Number 4 is which compound?

LiDy4HoSe8